Computed, not measured: Na4Sc3VO8 after structural relaxation at the PBE with a Hubbard U level of DFT.

Unit cell a=6.3099 b=6.3099 c=16.4042 alpha=90.00 beta=90.00 gamma=120.00
Space group R-3m (No. 166, hexagonal axes)
Inequivalent atoms, fractional coordinates:
Na 0.0000 0.0000 0.0000 x3
Na 0.0000 0.5000 0.0000 x9
Sc 0.0000 0.5000 0.5000 x9
V 0.0000 0.0000 0.5000 x3
O 0.0000 0.0000 0.2342 x6
O 0.0051 0.5025 0.2344 x18

Output
Raw total energy: -113.33 eV per formula unit
Spin magnetization: 6.00 Bohr magnetons per cell
Density of states at the Fermi level: 0.0 states/eV per cell